(1)
5
Lattice="3.778 0.000 0.000 0.000 3.778 0.000 0.000 0.000 5.175" Properties=species:S:1:pos:R:3 comment="TcWSeN2 SCAN PBEsol geometry" formation_energy_uncorrected_ev_per_atom=1.213 m_tot_mub_per_cell=3.03 density_g_cm3=8.7 energy_ev_per_fu=-137.3 pbc="T T T"
Tc 0.000 0.000 0.000
W 1.889 1.889 2.587
Se 0.000 0.000 2.587
N 0.000 1.889 0.000
N 1.889 0.000 0.000



(2)
5
Lattice="4.626 0.000 0.000 0.000 4.626 0.000 0.000 0.000 3.319" Properties=species:S:1:pos:R:3 comment="CoAuS2N SCAN PBEsol geometry" formation_energy_uncorrected_ev_per_atom=0.670 m_tot_mub_per_cell=0.00 density_g_cm3=7.8 energy_ev_per_fu=-111.7 pbc="T T T"
Co 0.000 0.000 0.000
Au 2.313 2.313 1.660
S 0.000 2.313 0.000
S 2.313 0.000 0.000
N 0.000 0.000 1.660



(3)
5
Lattice="4.878 0.000 0.000 0.000 4.878 0.000 0.000 0.000 5.220" Properties=species:S:1:pos:R:3 comment="RbCaSc2Ni SCAN PBEsol geometry" formation_enthalpy_0k_ev_per_fu=8.99 m_tot_mub_per_cell=0.00 density_g_cm3=3.7 energy_ev_per_fu=-66.1 pbc="T T T"
Rb 0.000 0.000 0.000
Ca 0.000 0.000 2.610
Sc 0.000 2.439 0.000
Sc 2.439 0.000 0.000
Ni 2.439 2.439 2.610



(4)
5
Lattice="5.227 0.000 0.000 0.000 5.227 0.000 0.000 0.000 5.474" Properties=species:S:1:pos:R:3 comment="TlSnAs2Br SCAN PBEsol geometry" formation_energy_uncorrected_ev_per_atom=0.701 m_tot_mub_per_cell=0.00 density_g_cm3=6.1 energy_ev_per_fu=-164.6 pbc="T T T"
Tl 0.000 0.000 0.000
Sn 2.614 2.614 2.737
As 0.000 2.614 0.000
As 2.614 0.000 0.000
Br 0.000 0.000 2.737



(5)
5
Lattice="5.347 0.000 0.000 0.000 5.347 0.000 0.000 0.000 4.657" Properties=species:S:1:pos:R:3 comment="NaBeHgSb2 SCAN PBEsol geometry" formation_energy_uncorrected_ev_per_atom=1.122 m_tot_mub_per_cell=0.00 density_g_cm3=5.9 energy_ev_per_fu=-145.6 pbc="T T T"
Na 0.000 0.000 0.000
Be 0.000 0.000 2.328
Hg 2.674 2.674 2.328
Sb 0.000 2.674 0.000
Sb 2.674 0.000 0.000



(6)
4
Lattice="1.884 1.088 6.487 -1.884 1.088 6.487 0.000 -2.175 6.487" Properties=species:S:1:pos:R:3 comment="Sc2IrAu SCAN PBEsol geometry" formation_enthalpy_0k_ev_per_fu=-3.16 m_tot_mub_per_cell=0.00 density_g_cm3=10.0 energy_ev_per_fu=-171.9 pbc="T T T"
Sc 0.000 0.000 4.679
Sc 0.000 0.000 14.781
Ir 0.000 0.000 9.730
Au 0.000 0.000 0.000



(7)
41
Lattice="9.469 0.000 0.000 -4.734 8.200 0.000 0.000 0.000 6.812" Properties=species:S:1:pos:R:3 comment="Ca10P6SeO24 SCAN PBEsol geometry" formation_energy_uncorrected_ev_per_atom=-3.167 m_tot_mub_per_cell=0.13 density_g_cm3=3.3 energy_ev_per_fu=-458.5 pbc="T T T"
Ca -1.119 2.148 1.701
Ca -2.315 8.096 1.701
Ca 1.300 2.043 5.111
Ca 0.000 5.467 0.138
Ca 0.000 5.467 3.491
Ca 4.734 2.733 3.321
Ca 4.734 2.733 6.674
Ca 3.434 6.157 1.701
Ca 7.049 0.105 5.111
Ca 5.854 6.052 5.111
P -1.619 3.277 5.116
P -1.086 7.964 5.116
P 2.028 3.041 1.696
P 2.706 5.159 5.116
P 5.821 0.236 1.696
P 6.354 4.923 1.696
Se 0.000 0.000 3.406
O -0.778 2.504 6.166
O -0.897 3.198 3.754
O -1.669 4.796 5.466
O -1.693 5.534 1.739
O -2.176 7.622 6.166
O -1.516 7.378 3.754
O 1.780 1.926 0.646
O 0.788 3.967 1.739
O 2.321 2.376 3.058
O 1.416 4.357 5.466
O 0.253 7.248 5.466
O 3.830 1.301 5.073
O 0.904 6.899 1.739
O 4.481 0.952 1.346
O 3.318 3.843 1.346
O 2.414 5.824 3.754
O 3.946 4.233 5.073
O 2.955 6.274 6.166
O 6.251 0.822 3.058
O 6.911 0.578 0.646
O 6.427 2.666 5.073
O 6.404 3.404 1.346
O 5.632 5.002 3.058
O 5.513 5.696 0.646



(8)
5
Lattice="5.886 0.000 0.000 0.000 5.886 0.000 0.000 0.000 4.209" Properties=species:S:1:pos:R:3 comment="CdI2NCl SCAN PBEsol geometry" formation_energy_uncorrected_ev_per_atom=0.745 m_tot_mub_per_cell=4.01 density_g_cm3=4.7 energy_ev_per_fu=-117.4 pbc="T T T"
Cd 0.000 0.000 0.000
I 0.000 2.943 0.000
I 2.943 0.000 0.000
N 0.000 0.000 2.104
Cl 2.943 2.943 2.104